# CeThAu PBE optimized geometry
# Excess energy over the best structure of this formula in the dataset   39 meV per atom
# Calculated formation energy   -0.3362 eV/atom
data_CeThAu
_cell_length_a 10.2363
_cell_length_b 5.1525
_cell_length_c 7.5764
_cell_angle_alpha 90.00
_cell_angle_beta 128.78
_cell_angle_gamma 90.00
_space_group_name_H-M_alt 'C 1 2/m 1'
_space_group_IT_number 12
loop_
_space_group_symop_operation_xyz
'x,y,z'
'-x,-y,-z'
'-x,y,-z'
'x,-y,z'
'x+1/2,y+1/2,z'
'-x+1/2,-y+1/2,-z'
'-x+1/2,y+1/2,-z'
'x+1/2,-y+1/2,z'
loop_
_atom_site_label
_atom_site_fract_x
_atom_site_fract_y
_atom_site_fract_z
_atom_site_occupancy
Ce1 0.1075 0.0000 0.2226 1
Th1 0.0718 0.5000 0.8086 1
Au1 0.1778 0.0000 0.6753 1

=====

# AcDy2PuS4 PBE optimized geometry
# Formation energy (no corrections)   -1.9244 eV per atom
data_AcDy2PuS4
_cell_length_a 6.9558
_cell_length_b 3.9921
_cell_length_c 7.0433
_cell_angle_alpha 90.00
_cell_angle_beta 109.00
_cell_angle_gamma 90.00
_space_group_name_H-M_alt 'P 1 2/m 1'
_space_group_IT_number 10
loop_
_space_group_symop_operation_xyz
'x,y,z'
'-x,-y,-z'
'-x,y,-z'
'x,-y,z'
loop_
_atom_site_label
_atom_site_fract_x
_atom_site_fract_y
_atom_site_fract_z
_atom_site_occupancy
Ac1 0.0000 0.0000 0.0000 1
Dy1 0.0000 0.5000 0.5000 1
Dy2 0.5000 0.0000 0.5000 1
Pu1 0.5000 0.5000 0.0000 1
S1 0.2548 0.0000 0.7362 1
S2 0.2666 0.5000 0.2721 1

=====

# Sc2As PBE optimized geometry
# Calculated formation energy   -0.7470 eV/atom
data_Sc2As
_cell_length_a 4.7778
_cell_length_b 4.7778
_cell_length_c 5.8409
_cell_angle_alpha 90.00
_cell_angle_beta 90.00
_cell_angle_gamma 120.00
_space_group_name_H-M_alt 'P 63/m m c'
_space_group_IT_number 194
_space_group_name_Hall '-P 6c 2c'
loop_
_atom_site_label
_atom_site_fract_x
_atom_site_fract_y
_atom_site_fract_z
_atom_site_occupancy
Sc1 0.0000 0.0000 0.0000 1
Sc2 0.3333 0.6667 0.2500 1
As1 0.3333 0.6667 0.7500 1

=====

# La5MgRe3O16 PBE optimized geometry
# Formation energy (no corrections)   -2.6545 eV per atom
data_La5MgRe3O16
_cell_length_a 5.6804
_cell_length_b 5.6855
_cell_length_c 10.2423
_cell_angle_alpha 93.47
_cell_angle_beta 93.48
_cell_angle_gamma 90.81
_space_group_name_H-M_alt 'P -1'
_space_group_IT_number 2
loop_
_space_group_symop_operation_xyz
'x,y,z'
'-x,-y,-z'
loop_
_atom_site_label
_atom_site_fract_x
_atom_site_fract_y
_atom_site_fract_z
_atom_site_occupancy
La1 0.0000 0.0000 0.0000 1
La2 0.0338 0.5102 0.7083 1
La3 0.4848 0.9720 0.3004 1
Mg1 0.5000 0.5000 0.5000 1
Re1 0.0000 0.0000 0.5000 1
Re2 0.4458 0.4455 0.1063 1
O1 0.0734 0.0787 0.6821 1
O2 0.1862 0.2840 0.4613 1
O3 0.2199 0.6954 0.1348 1
O4 0.2240 0.2179 0.1759 1
O5 0.2968 0.7730 0.8634 1
O6 0.2988 0.8081 0.4993 1
O7 0.3100 0.3053 0.9338 1
O8 0.4556 0.4540 0.6976 1

=====

# NiAgAs2 PBE optimized geometry
# Excess energy over the best structure of this formula in the dataset   65 meV per atom
# Calculated formation energy   0.0659 eV/atom
data_NiAgAs2
_cell_length_a 2.9578
_cell_length_b 2.9578
_cell_length_c 7.5389
_cell_angle_alpha 90.00
_cell_angle_beta 90.00
_cell_angle_gamma 90.00
_space_group_name_H-M_alt 'P 4/m m m'
_space_group_IT_number 123
_space_group_name_Hall '-P 4 2'
loop_
_atom_site_label
_atom_site_fract_x
_atom_site_fract_y
_atom_site_fract_z
_atom_site_occupancy
Ni1 0.0000 0.0000 0.0000 1
Ag1 0.0000 0.0000 0.5000 1
As1 0.5000 0.5000 0.2067 1

=====

# K2InAgAu2 PBE optimized geometry
# Calculated formation energy   -0.2040 eV/atom
data_K2InAgAu2
_cell_length_a 6.6778
_cell_length_b 13.6664
_cell_length_c 8.0669
_cell_angle_alpha 90.00
_cell_angle_beta 90.00
_cell_angle_gamma 90.00
_space_group_name_H-M_alt 'I b a m'
_space_group_IT_number 72
_space_group_name_Hall '-I 2 2c'
loop_
_atom_site_label
_atom_site_fract_x
_atom_site_fract_y
_atom_site_fract_z
_atom_site_occupancy
K1 0.2252 0.1769 0.0000 1
In1 0.0000 0.5000 0.2500 1
Ag1 0.0000 0.0000 0.2500 1
Au1 0.2443 0.4249 0.0000 1

=====

# PmAlSb2 PBE optimized geometry
# Excess energy over the best structure of this formula in the dataset   0 meV per atom
# Formation energy (no corrections)   -0.4515 eV per atom
data_PmAlSb2
_cell_length_a 4.0728
_cell_length_b 4.0728
_cell_length_c 6.2452
_cell_angle_alpha 90.00
_cell_angle_beta 90.00
_cell_angle_gamma 90.00
_space_group_name_H-M_alt 'P 4/m m m'
_space_group_IT_number 123
_space_group_name_Hall '-P 4 2'
loop_
_atom_site_label
_atom_site_fract_x
_atom_site_fract_y
_atom_site_fract_z
_atom_site_occupancy
Pm1 0.0000 0.0000 0.0000 1
Al1 0.0000 0.0000 0.5000 1
Sb1 0.5000 0.5000 0.2610 1

=====

# CrCoRe2H PBE optimized geometry
# VASP energy   -44.36 eV for the cell shown
data_CrCoRe2H
_cell_length_a 3.8943
_cell_length_b 3.8943
_cell_length_c 3.5794
_cell_angle_alpha 90.00
_cell_angle_beta 90.00
_cell_angle_gamma 90.00
_space_group_name_H-M_alt 'P 4/m m m'
_space_group_IT_number 123
_space_group_name_Hall '-P 4 2'
loop_
_atom_site_label
_atom_site_fract_x
_atom_site_fract_y
_atom_site_fract_z
_atom_site_occupancy
Cr1 0.0000 0.0000 0.0000 1
Co1 0.5000 0.5000 0.0000 1
Re1 0.0000 0.5000 0.5000 1
H1 0.5000 0.5000 0.5000 1

=====

# CsPmS2 PBE optimized geometry
# Formation energy (no corrections)   -1.8000 eV per atom
data_CsPmS2
_cell_length_a 4.2049
_cell_length_b 4.2049
_cell_length_c 24.5410
_cell_angle_alpha 90.00
_cell_angle_beta 90.00
_cell_angle_gamma 120.00
_space_group_name_H-M_alt 'R 3 m'
_space_group_IT_number 160
_space_group_name_Hall 'R 3 -2"'
loop_
_atom_site_label
_atom_site_fract_x
_atom_site_fract_y
_atom_site_fract_z
_atom_site_occupancy
Cs1 0.0000 0.0000 0.0000 1
Pm1 0.0000 0.0000 0.1690 1
S1 0.0000 0.0000 0.5643 1
S2 0.0000 0.0000 0.7741 1

=====

# MgTeOs2 PBE optimized geometry
# Excess energy over the best structure of this formula in the dataset   277 meV per atom
# Formation energy (no corrections)   0.5445 eV per atom
data_MgTeOs2
_cell_length_a 3.0415
_cell_length_b 4.5304
_cell_length_c 10.4317
_cell_angle_alpha 90.00
_cell_angle_beta 90.00
_cell_angle_gamma 90.00
_space_group_name_H-M_alt 'I m m 2'
_space_group_IT_number 44
loop_
_space_group_symop_operation_xyz
'x,y,z'
'-x,-y,z'
'-x,y,z'
'x,-y,z'
'x+1/2,y+1/2,z+1/2'
'-x+1/2,-y+1/2,z+1/2'
'-x+1/2,y+1/2,z+1/2'
'x+1/2,-y+1/2,z+1/2'
loop_
_atom_site_label
_atom_site_fract_x
_atom_site_fract_y
_atom_site_fract_z
_atom_site_occupancy
Mg1 0.0000 0.0000 0.0000 1
Te1 0.0000 0.5000 0.2193 1
Os1 0.0000 0.0000 0.4995 1
Os2 0.0000 0.5000 0.7954 1

=====

# Cs2ThSb2S6 PBE optimized geometry
# Formation energy (no corrections)   -0.9870 eV per atom
data_Cs2ThSb2S6
_cell_length_a 12.0762
_cell_length_b 7.5445
_cell_length_c 8.9281
_cell_angle_alpha 90.00
_cell_angle_beta 111.81
_cell_angle_gamma 90.00
_space_group_name_H-M_alt 'C 1 2/m 1'
_space_group_IT_number 12
loop_
_space_group_symop_operation_xyz
'x,y,z'
'-x,-y,-z'
'-x,y,-z'
'x,-y,z'
'x+1/2,y+1/2,z'
'-x+1/2,-y+1/2,-z'
'-x+1/2,y+1/2,-z'
'x+1/2,-y+1/2,z'
loop_
_atom_site_label
_atom_site_fract_x
_atom_site_fract_y
_atom_site_fract_z
_atom_site_occupancy
Cs1 0.1975 0.0000 0.1413 1
Th1 0.0000 0.0000 0.5000 1
Sb1 0.0810 0.5000 0.2136 1
S1 0.0366 0.2470 0.7526 1
S2 0.2375 0.0000 0.5477 1

=====

# BaMnZn PBE optimized geometry
# Calculated formation energy   0.2967 eV/atom
data_BaMnZn
_cell_length_a 3.6172
_cell_length_b 3.6172
_cell_length_c 11.8838
_cell_angle_alpha 90.00
_cell_angle_beta 90.00
_cell_angle_gamma 90.00
_space_group_name_H-M_alt 'I 4 m m'
_space_group_IT_number 107
_space_group_name_Hall 'I 4 -2'
loop_
_atom_site_label
_atom_site_fract_x
_atom_site_fract_y
_atom_site_fract_z
_atom_site_occupancy
Ba1 0.0000 0.0000 0.0000 1
Mn1 0.0000 0.0000 0.7181 1
Zn1 0.0000 0.0000 0.2882 1

=====

no.,size of the total moment (μB/f.u.)
1,0.00
2,5.90
3,0.00
4,2.06
5,0.00
6,0.00
7,0.00
8,0.00
9,0.00
10,0.00
11,0.00
12,3.64